No. 1
{
  "formula": "Re2Pb",
  "functional": "PBE",
  "state": "optimized geometry",
  "sg": "I4/mmm (139)",
  "de_polymorph_mev_per_atom": 131,
  "vol_a3_per_atom": 19.015,
  "ef_ev_per_atom": 0.62,
  "mass_density_g_cm3": 16.87,
  "dos_ef_per_ev_cell": 2.6,
  "lattice": [[-5.751, 1.089, -2.954], [-5.452, -3.073, -1.954], [4.698, 1.385, 4.360]],
  "species": ["Re", "Re", "Pb"],
  "frac_coords": [[0.193, 0.193, 0.000], [0.807, 0.807, 0.000], [0.500, 0.500, 0.000]]
}

No. 2
{
  "formula": "RePb",
  "functional": "PBE",
  "state": "optimized geometry",
  "sg": "P-3m1 (164)",
  "de_polymorph_mev_per_atom": 261,
  "vol_a3_per_atom": 26.120,
  "ef_ev_per_atom": 0.65,
  "mass_density_g_cm3": 12.51,
  "dos_ef_per_ev_cell": 4.6,
  "lattice": [[-1.711, 1.242, 3.645], [-2.419, -1.742, -2.978], [3.515, -18.447, 7.933]],
  "species": ["Re", "Re", "Pb", "Re", "Pb", "Re", "Re", "Pb", "Re", "Pb", "Pb", "Pb"],
  "frac_coords": [[0.000, 0.000, 0.679], [0.333, 0.667, 0.662], [0.000, 0.000, 0.098], [0.667, 0.333, 0.338], [0.000, 0.000, 0.902], [0.000, 0.000, 0.321], [0.333, 0.667, 0.991], [0.333, 0.667, 0.427], [0.667, 0.333, 0.009], [0.667, 0.333, 0.573], [0.333, 0.667, 0.232], [0.667, 0.333, 0.768]]
}

No. 3
{
  "formula": "RePb",
  "functional": "PBE",
  "state": "optimized geometry",
  "sg": "Pm-3n (223)",
  "de_polymorph_mev_per_atom": 1978,
  "vol_a3_per_atom": 38.621,
  "ef_ev_per_atom": 2.36,
  "mass_density_g_cm3": 8.46,
  "dos_ef_per_ev_cell": 14.0,
  "lattice": [[-4.888, -5.803, -1.523], [4.619, -4.893, 3.822], [-3.829, 1.505, 6.554]],
  "species": ["Pb", "Re", "Pb", "Pb", "Re", "Re", "Pb", "Pb", "Re", "Pb", "Re", "Re"],
  "frac_coords": [[0.000, 0.500, 0.250], [0.500, 0.000, 0.250], [0.750, 0.000, 0.500], [0.500, 0.250, 0.000], [0.000, 0.750, 0.500], [0.500, 0.000, 0.750], [0.250, 0.000, 0.500], [0.500, 0.750, 0.000], [0.000, 0.250, 0.500], [0.000, 0.500, 0.750], [0.250, 0.500, 0.000], [0.750, 0.500, 0.000]]
}

No. 4
{
  "formula": "Re5Pb",
  "functional": "PBE",
  "state": "optimized geometry",
  "sg": "F-43m (216)",
  "de_polymorph_mev_per_atom": 378,
  "vol_a3_per_atom": 16.978,
  "ef_ev_per_atom": 0.86,
  "mass_density_g_cm3": 18.55,
  "dos_ef_per_ev_cell": 6.3,
  "lattice": [[2.508, 3.165, 3.343], [-2.669, 2.466, 3.778], [0.614, -1.432, 5.005]],
  "species": ["Re", "Re", "Re", "Re", "Re", "Pb"],
  "frac_coords": [[0.625, 0.124, 0.625], [0.124, 0.625, 0.625], [0.625, 0.625, 0.124], [0.250, 0.250, 0.250], [0.625, 0.625, 0.625], [0.000, 0.000, 0.000]]
}

No. 5
{
  "formula": "RePb",
  "functional": "PBE",
  "state": "optimized geometry",
  "sg": "P6_3/mmc (194)",
  "de_polymorph_mev_per_atom": 987,
  "vol_a3_per_atom": 22.084,
  "ef_ev_per_atom": 1.37,
  "mass_density_g_cm3": 14.79,
  "dos_ef_per_ev_cell": 6.9,
  "lattice": [[2.544, -4.407, 0.000], [2.544, 4.407, 0.000], [0.000, 0.000, 7.879]],
  "species": ["Pb", "Pb", "Re", "Re", "Re", "Pb", "Pb", "Re"],
  "frac_coords": [[0.667, 0.333, 0.250], [0.000, 0.000, 0.750], [0.333, 0.667, 0.097], [0.667, 0.333, 0.903], [0.667, 0.333, 0.597], [0.333, 0.667, 0.750], [0.000, 0.000, 0.250], [0.333, 0.667, 0.403]]
}

No. 6
{
  "formula": "RePb",
  "functional": "PBE",
  "state": "optimized geometry",
  "sg": "Pm-3m (221)",
  "de_polymorph_mev_per_atom": 910,
  "vol_a3_per_atom": 19.169,
  "ef_ev_per_atom": 1.29,
  "mass_density_g_cm3": 17.04,
  "dos_ef_per_ev_cell": 2.9,
  "lattice": [[-1.202, -2.096, -2.351], [2.546, -2.128, 0.596], [-1.856, -1.564, 2.342]],
  "species": ["Re", "Pb"],
  "frac_coords": [[0.500, 0.500, 0.500], [0.000, 0.000, 0.000]]
}

No. 7
{
  "formula": "Re5Pb3",
  "functional": "PBE",
  "state": "optimized geometry",
  "sg": "P6_3/mcm (193)",
  "de_polymorph_mev_per_atom": 502,
  "vol_a3_per_atom": 20.076,
  "ef_ev_per_atom": 1.16,
  "mass_density_g_cm3": 16.05,
  "dos_ef_per_ev_cell": 16.9,
  "lattice": [[8.505, 0.000, 0.000], [-4.252, 7.365, 0.000], [0.000, 0.000, 5.128]],
  "species": ["Pb", "Re", "Re", "Re", "Pb", "Re", "Re", "Pb", "Re", "Re", "Pb", "Re", "Pb", "Pb", "Re", "Re"],
  "frac_coords": [[0.611, 0.000, 0.250], [0.834, 0.834, 0.250], [0.667, 0.333, 0.500], [0.166, 0.000, 0.250], [0.389, 0.000, 0.750], [0.333, 0.667, 0.500], [0.166, 0.166, 0.750], [0.000, 0.389, 0.750], [0.333, 0.667, 0.000], [0.000, 0.166, 0.250], [0.611, 0.611, 0.750], [0.000, 0.834, 0.750], [0.389, 0.389, 0.250], [0.000, 0.611, 0.250], [0.834, 0.000, 0.750], [0.667, 0.333, 0.000]]
}

No. 8
{
  "formula": "RePb",
  "functional": "PBE",
  "state": "optimized geometry",
  "sg": "R-3m (166)",
  "de_polymorph_mev_per_atom": 251,
  "vol_a3_per_atom": 25.657,
  "ef_ev_per_atom": 0.64,
  "mass_density_g_cm3": 12.73,
  "dos_ef_per_ev_cell": 1.8,
  "lattice": [[7.163, 0.010, 0.006], [5.930, 4.017, 0.006], [5.930, 1.824, 3.579]],
  "species": ["Pb", "Pb", "Re", "Re"],
  "frac_coords": [[0.101, 0.101, 0.101], [0.899, 0.899, 0.899], [0.342, 0.342, 0.342], [0.658, 0.658, 0.658]]
}

No. 9
{
  "formula": "Re2Pb",
  "functional": "PBE",
  "state": "optimized geometry",
  "sg": "Pnma (62)",
  "de_polymorph_mev_per_atom": 360,
  "vol_a3_per_atom": 19.964,
  "ef_ev_per_atom": 0.85,
  "mass_density_g_cm3": 16.07,
  "dos_ef_per_ev_cell": 7.3,
  "lattice": [[4.303, 0.000, 0.000], [0.000, 5.413, 0.000], [0.000, 0.000, 10.287]],
  "species": ["Re", "Re", "Re", "Pb", "Re", "Pb", "Re", "Re", "Pb", "Pb", "Re", "Re"],
  "frac_coords": [[0.250, 0.576, 0.816], [0.750, 0.922, 0.568], [0.250, 0.078, 0.432], [0.250, 0.065, 0.133], [0.250, 0.578, 0.068], [0.750, 0.435, 0.633], [0.750, 0.924, 0.316], [0.750, 0.424, 0.184], [0.750, 0.935, 0.867], [0.250, 0.565, 0.367], [0.750, 0.422, 0.932], [0.250, 0.076, 0.684]]
}

No. 10
{
  "formula": "RePb",
  "functional": "PBE",
  "state": "optimized geometry",
  "sg": "R-3m (166)",
  "de_polymorph_mev_per_atom": 825,
  "vol_a3_per_atom": 20.631,
  "ef_ev_per_atom": 1.21,
  "mass_density_g_cm3": 15.83,
  "dos_ef_per_ev_cell": 3.5,
  "lattice": [[-2.472, 2.228, 3.447], [0.095, -1.946, 4.378], [2.515, 2.297, 3.370]],
  "species": ["Pb", "Re", "Pb", "Re"],
  "frac_coords": [[0.630, 0.630, 0.630], [0.107, 0.107, 0.107], [0.370, 0.370, 0.370], [0.893, 0.893, 0.893]]
}

No. 11
{
  "formula": "Re2Pb",
  "functional": "PBE",
  "state": "optimized geometry",
  "sg": "Cm (8)",
  "de_polymorph_mev_per_atom": 355,
  "vol_a3_per_atom": 19.078,
  "ef_ev_per_atom": 0.84,
  "mass_density_g_cm3": 16.82,
  "dos_ef_per_ev_cell": 4.2,
  "lattice": [[1.493, 5.280, 0.020], [-1.493, 5.280, 0.020], [0.000, 0.868, 7.265]],
  "species": ["Pb", "Re", "Re", "Pb", "Re", "Re"],
  "frac_coords": [[0.039, 0.039, 0.004], [0.315, 0.315, 0.870], [0.539, 0.539, 0.352], [0.278, 0.278, 0.314], [0.975, 0.975, 0.631], [0.688, 0.688, 0.662]]
}

No. 12
{
  "formula": "RePb",
  "functional": "PBE",
  "state": "optimized geometry",
  "sg": "P6_3/mmc (194)",
  "de_polymorph_mev_per_atom": 896,
  "vol_a3_per_atom": 19.503,
  "ef_ev_per_atom": 1.28,
  "mass_density_g_cm3": 16.75,
  "dos_ef_per_ev_cell": 4.6,
  "lattice": [[3.198, 0.000, 0.000], [-1.599, 2.770, 0.000], [0.000, 0.000, 8.807]],
  "species": ["Re", "Pb", "Pb", "Re"],
  "frac_coords": [[0.333, 0.667, 0.250], [0.000, 0.000, 0.000], [0.000, 0.000, 0.500], [0.667, 0.333, 0.750]]
}

No. 13
{
  "formula": "Re2Pb",
  "functional": "PBE",
  "state": "optimized geometry",
  "sg": "P-3m1 (164)",
  "de_polymorph_mev_per_atom": 637,
  "vol_a3_per_atom": 18.873,
  "ef_ev_per_atom": 1.12,
  "mass_density_g_cm3": 17.00,
  "dos_ef_per_ev_cell": 3.7,
  "lattice": [[-4.137, 1.200, 1.129], [0.718, -2.216, -3.796], [-0.395, -2.859, 1.594]],
  "species": ["Re", "Pb", "Re"],
  "frac_coords": [[0.333, 0.667, 0.484], [0.000, 0.000, 0.000], [0.667, 0.333, 0.516]]
}

No. 14
{
  "formula": "Re2Pb",
  "functional": "PBE",
  "state": "optimized geometry",
  "sg": "P6_3/mmc (194)",
  "de_polymorph_mev_per_atom": 401,
  "vol_a3_per_atom": 19.365,
  "ef_ev_per_atom": 0.89,
  "mass_density_g_cm3": 16.57,
  "dos_ef_per_ev_cell": 4.2,
  "lattice": [[2.130, -3.689, 0.000], [2.130, 3.689, 0.000], [0.000, 0.000, 7.395]],
  "species": ["Pb", "Re", "Re", "Re", "Re", "Pb"],
  "frac_coords": [[0.000, 0.000, 0.250], [0.667, 0.333, 0.452], [0.333, 0.667, 0.548], [0.333, 0.667, 0.952], [0.667, 0.333, 0.048], [0.000, 0.000, 0.750]]
}

No. 15
{
  "formula": "Re2Pb",
  "functional": "PBE",
  "state": "optimized geometry",
  "sg": "Fm-3m (225)",
  "de_polymorph_mev_per_atom": 1606,
  "vol_a3_per_atom": 20.537,
  "ef_ev_per_atom": 2.09,
  "mass_density_g_cm3": 15.62,
  "dos_ef_per_ev_cell": 5.4,
  "lattice": [[4.433, 0.000, 0.000], [2.217, 3.839, 0.000], [2.217, 1.280, 3.620]],
  "species": ["Re", "Re", "Pb"],
  "frac_coords": [[0.750, 0.750, 0.750], [0.250, 0.250, 0.250], [0.000, 0.000, 0.000]]
}

No. 16
{
  "formula": "Re2Pb",
  "functional": "PBE",
  "state": "optimized geometry",
  "sg": "Fd-3m (227)",
  "de_polymorph_mev_per_atom": 409,
  "vol_a3_per_atom": 18.803,
  "ef_ev_per_atom": 0.90,
  "mass_density_g_cm3": 17.06,
  "dos_ef_per_ev_cell": 4.7,
  "lattice": [[0.000, 3.835, 3.835], [3.835, 0.000, 3.835], [3.835, 3.835, 0.000]],
  "species": ["Re", "Re", "Pb", "Re", "Pb", "Re"],
  "frac_coords": [[0.125, 0.125, 0.625], [0.625, 0.125, 0.125], [0.750, 0.750, 0.750], [0.125, 0.625, 0.125], [0.500, 0.500, 0.500], [0.125, 0.125, 0.125]]
}

No. 17
{
  "formula": "Re2Pb",
  "functional": "PBE",
  "state": "optimized geometry",
  "sg": "P-3m1 (164)",
  "de_polymorph_mev_per_atom": 209,
  "vol_a3_per_atom": 18.351,
  "ef_ev_per_atom": 0.69,
  "mass_density_g_cm3": 17.48,
  "dos_ef_per_ev_cell": 0.8,
  "lattice": [[-1.502, 1.238, -2.225], [-0.100, -2.927, 0.402], [-5.781, 0.796, 4.345]],
  "species": ["Re", "Pb", "Re"],
  "frac_coords": [[0.667, 0.333, 0.636], [0.000, 0.000, 0.000], [0.333, 0.667, 0.364]]
}

No. 18
{
  "formula": "Re2Pb",
  "functional": "PBE",
  "state": "optimized geometry",
  "sg": "P6_3/mmc (194)",
  "de_polymorph_mev_per_atom": 877,
  "vol_a3_per_atom": 17.776,
  "ef_ev_per_atom": 1.36,
  "mass_density_g_cm3": 18.05,
  "dos_ef_per_ev_cell": 8.5,
  "lattice": [[2.390, -4.139, 0.000], [2.390, 4.139, 0.000], [0.000, 0.000, 5.391]],
  "species": ["Pb", "Re", "Pb", "Re", "Re", "Re"],
  "frac_coords": [[0.667, 0.333, 0.750], [0.333, 0.667, 0.750], [0.333, 0.667, 0.250], [0.000, 0.000, 0.000], [0.667, 0.333, 0.250], [0.000, 0.000, 0.500]]
}

No. 19
{
  "formula": "RePb",
  "functional": "PBE",
  "state": "optimized geometry",
  "sg": "C2/m (12)",
  "de_polymorph_mev_per_atom": 480,
  "vol_a3_per_atom": 21.774,
  "ef_ev_per_atom": 0.86,
  "mass_density_g_cm3": 15.00,
  "dos_ef_per_ev_cell": 2.4,
  "lattice": [[-4.849, 1.239, 1.949], [-4.711, -1.107, -3.551], [-1.305, -2.711, 1.124]],
  "species": ["Re", "Re", "Pb", "Pb"],
  "frac_coords": [[0.432, 0.460, 0.554], [0.485, 0.124, 0.196], [0.821, 0.613, 0.783], [0.096, 0.971, 0.967]]
}

No. 20
{
  "formula": "RePb",
  "functional": "PBE",
  "state": "optimized geometry",
  "sg": "P-3m1 (164)",
  "de_polymorph_mev_per_atom": 450,
  "vol_a3_per_atom": 23.756,
  "ef_ev_per_atom": 0.83,
  "mass_density_g_cm3": 13.75,
  "dos_ef_per_ev_cell": 5.8,
  "lattice": [[-0.143, 4.055, 2.298], [-3.894, -2.506, -0.552], [2.827, -7.255, 12.981]],
  "species": ["Re", "Re", "Re", "Pb", "Pb", "Pb", "Re", "Re", "Pb", "Pb", "Re", "Pb"],
  "frac_coords": [[0.667, 0.333, 0.912], [0.667, 0.333, 0.757], [0.333, 0.667, 0.243], [0.000, 0.000, 0.683], [0.000, 0.000, 0.317], [0.333, 0.667, 0.568], [0.333, 0.667, 0.088], [0.000, 0.000, 0.074], [0.333, 0.667, 0.828], [0.667, 0.333, 0.432], [0.000, 0.000, 0.926], [0.667, 0.333, 0.172]]
}

No. 21
{
  "formula": "RePb",
  "functional": "PBE",
  "state": "optimized geometry",
  "sg": "P6_3/mmc (194)",
  "de_polymorph_mev_per_atom": 1573,
  "vol_a3_per_atom": 27.971,
  "ef_ev_per_atom": 1.96,
  "mass_density_g_cm3": 11.68,
  "dos_ef_per_ev_cell": 4.0,
  "lattice": [[-0.618, 1.295, -4.613], [0.592, -4.656, 1.143], [-5.478, -0.554, 0.579]],
  "species": ["Pb", "Re", "Pb", "Re"],
  "frac_coords": [[0.667, 0.333, 0.250], [0.333, 0.667, 0.250], [0.333, 0.667, 0.750], [0.667, 0.333, 0.750]]
}

No. 22
{
  "formula": "RePb4",
  "functional": "PBE",
  "state": "optimized geometry",
  "sg": "Pm-3m (221)",
  "de_polymorph_mev_per_atom": 0,
  "vol_a3_per_atom": 31.342,
  "ef_ev_per_atom": 0.63,
  "mass_density_g_cm3": 10.76,
  "dos_ef_per_ev_cell": 5.4,
  "lattice": [[-3.684, 1.118, 3.774], [0.464, -5.010, 1.937], [3.909, 1.649, 3.327]],
  "species": ["Pb", "Re", "Pb", "Pb", "Pb"],
  "frac_coords": [[0.000, 0.500, 0.500], [0.500, 0.500, 0.500], [0.500, 0.000, 0.500], [0.500, 0.500, 0.000], [0.000, 0.000, 0.000]]
}

No. 23
{
  "formula": "RePb",
  "functional": "PBE",
  "state": "optimized geometry",
  "sg": "Cm (8)",
  "de_polymorph_mev_per_atom": 376,
  "vol_a3_per_atom": 22.155,
  "ef_ev_per_atom": 0.76,
  "mass_density_g_cm3": 14.74,
  "dos_ef_per_ev_cell": 4.2,
  "lattice": [[1.588, 6.493, 0.030], [-1.588, 6.493, 0.030], [0.000, 2.825, 6.459]],
  "species": ["Re", "Pb", "Pb", "Pb", "Re", "Re"],
  "frac_coords": [[0.036, 0.036, 0.359], [0.382, 0.382, 0.828], [0.099, 0.099, 0.918], [0.329, 0.329, 0.366], [0.612, 0.612, 0.548], [0.709, 0.709, 0.147]]
}

No. 24
{
  "formula": "ReRhPb2",
  "functional": "PBE",
  "state": "optimized geometry",
  "sg": "I-4m2 (119)",
  "de_polymorph_mev_per_atom": 505,
  "vol_a3_per_atom": 19.985,
  "ef_ev_per_atom": 0.84,
  "mass_density_g_cm3": 14.61,
  "dos_ef_per_ev_cell": 3.4,
  "lattice": [[-0.506, -2.752, 5.045], [-3.464, 1.966, 4.173], [-0.141, -1.133, -5.655]],
  "species": ["Pb", "Pb", "Re", "Rh"],
  "frac_coords": [[0.250, 0.750, 0.500], [0.000, 0.000, 0.000], [0.500, 0.500, 0.000], [0.750, 0.250, 0.500]]
}

No. 25
{
  "formula": "ReRh2Pb",
  "functional": "PBE",
  "state": "optimized geometry",
  "sg": "P2/m (10)",
  "vol_a3_per_atom": 16.588,
  "ef_ev_per_atom": 0.53,
  "mass_density_g_cm3": 15.00,
  "dos_ef_per_ev_cell": 5.9,
  "lattice": [[2.904, 0.000, 0.000], [0.000, 4.813, -0.016], [0.000, 1.435, 4.744]],
  "species": ["Rh", "Re", "Rh", "Pb"],
  "frac_coords": [[0.500, 0.000, 0.500], [0.000, 0.500, 0.500], [0.000, 0.000, 0.000], [0.500, 0.500, 0.000]]
}

No. 26
{
  "formula": "ReRhPb2",
  "functional": "PBE",
  "state": "optimized geometry",
  "sg": "Pmmm (47)",
  "de_polymorph_mev_per_atom": 519,
  "vol_a3_per_atom": 20.206,
  "ef_ev_per_atom": 0.85,
  "mass_density_g_cm3": 14.45,
  "dos_ef_per_ev_cell": 3.7,
  "lattice": [[-0.065, 0.290, 3.343], [4.263, -1.137, 0.181], [1.418, 5.249, -0.428]],
  "species": ["Re", "Pb", "Rh", "Pb"],
  "frac_coords": [[0.500, 0.500, 0.000], [0.000, 0.000, 0.000], [0.000, 0.500, 0.500], [0.500, 0.000, 0.500]]
}

No. 27
{
  "formula": "ReRhPb3",
  "functional": "PBE",
  "state": "optimized geometry",
  "sg": "Pm-3m (221)",
  "de_polymorph_mev_per_atom": 0,
  "vol_a3_per_atom": 29.485,
  "ef_ev_per_atom": 1.11,
  "mass_density_g_cm3": 10.26,
  "dos_ef_per_ev_cell": 17.9,
  "lattice": [[-0.047, 5.023, 1.635], [-4.737, 0.684, -2.235], [-2.337, -1.486, 4.498]],
  "species": ["Rh", "Pb", "Pb", "Re", "Pb"],
  "frac_coords": [[0.500, 0.500, 0.500], [0.000, 0.500, 0.000], [0.500, 0.000, 0.000], [0.000, 0.000, 0.000], [0.000, 0.000, 0.500]]
}

no.,final energy (eV per atom)
1,-8.918
2,-7.433
3,-5.716
4,-10.128
5,-6.707
6,-6.784
7,-8.009
8,-7.443
9,-8.689
10,-6.869
11,-8.694
12,-6.798
13,-8.412
14,-8.648
15,-7.443
16,-8.640
17,-8.840
18,-8.171
19,-7.214
20,-7.244
21,-6.121
22,-4.831
23,-7.318
24,-5.968
25,-7.186
26,-5.954
27,-5.076